DFT (PBE-GGA) results for a relaxed PrThMg17 crystal.

## Properties
Fermi-level density of states, states/eV per cell: 25.91
Total DFT energy (no corrections), eV/cell: -119.4

The structure in CIF format:
```
data_PrThMg17
_cell_length_a 10.2550
_cell_length_b 10.2550
_cell_length_c 15.2140
_cell_angle_alpha 90.00
_cell_angle_beta 90.00
_cell_angle_gamma 120.00
_symmetry_space_group_name_H-M 'R 3 m'
_symmetry_Int_Tables_number 160
_symmetry_space_group_name_Hall 'R 3 -2"'
loop_
_atom_site_label
_atom_site_type_symbol
_atom_site_fract_x
_atom_site_fract_y
_atom_site_fract_z
Pr1 Pr 0.0000 0.0000 0.0000
Th1 Th 0.0000 0.0000 0.3399
Mg1 Mg 0.0000 0.0000 0.5695
Mg2 Mg 0.0000 0.0000 0.7670
Mg3 Mg 0.0002 0.5001 0.1684
Mg4 Mg 0.0050 0.5025 0.8206
Mg5 Mg 0.0317 0.3640 0.3354
Mg6 Mg 0.1728 0.3456 0.8503
```

=====

DFT (PBE-GGA) results for a relaxed PrThMg2 crystal.

## Properties
Fermi-level density of states, states/eV per cell: 4.56
E above lowest polymorph, kJ/mol of formula units: 0.0

The structure in CIF format:
```
data_PrThMg2
_cell_length_a 3.866
_cell_length_b 3.866
_cell_length_c 7.778
_cell_angle_alpha 90.00
_cell_angle_beta 90.00
_cell_angle_gamma 90.00
_symmetry_space_group_name_H-M 'P 4/m m m'
_symmetry_Int_Tables_number 123
_symmetry_space_group_name_Hall '-P 4 2'
loop_
_atom_site_label
_atom_site_type_symbol
_atom_site_fract_x
_atom_site_fract_y
_atom_site_fract_z
Pr1 Pr 0.000 0.000 0.000
Th1 Th 0.000 0.000 0.500
Mg1 Mg 0.500 0.500 0.251
```

=====

DFT (PBE-GGA) results for a relaxed PrThMg2 crystal.

## Properties
Fermi-level density of states, states/eV per cell: 16.91
E above lowest polymorph, kJ/mol of formula units: 37.3

The structure in CIF format:
```
data_PrThMg2
_cell_length_a 3.4053
_cell_length_b 3.4053
_cell_length_c 35.2399
_cell_angle_alpha 90.00
_cell_angle_beta 90.00
_cell_angle_gamma 120.00
_symmetry_space_group_name_H-M 'R -3 m'
_symmetry_Int_Tables_number 166
_symmetry_space_group_name_Hall '-R 3 2"'
loop_
_atom_site_label
_atom_site_type_symbol
_atom_site_fract_x
_atom_site_fract_y
_atom_site_fract_z
Pr1 Pr 0.0000 0.0000 0.0000
Th1 Th 0.0000 0.0000 0.5000
Mg1 Mg 0.0000 0.0000 0.2498
```

=====

DFT (PBE-GGA) results for a relaxed Pr14ThMg crystal.

## Properties
Fermi-level density of states, states/eV per cell: 37.76
Total DFT energy (no corrections), eV/cell: -151.4

The structure in CIF format:
```
data_Pr14ThMg
_cell_length_a 10.449
_cell_length_b 10.367
_cell_length_c 10.367
_cell_angle_alpha 90.00
_cell_angle_beta 90.00
_cell_angle_gamma 90.00
_symmetry_space_group_name_H-M 'A m m 2'
_symmetry_Int_Tables_number 38
loop_
_symmetry_equiv_pos_as_xyz
'x,y,z'
'-x,-y,z'
'-x,y,z'
'x,-y,z'
'x,y+1/2,z+1/2'
'-x,-y+1/2,z+1/2'
'-x,y+1/2,z+1/2'
'x,-y+1/2,z+1/2'
loop_
_atom_site_label
_atom_site_type_symbol
_atom_site_fract_x
_atom_site_fract_y
_atom_site_fract_z
Pr1 Pr 0.000 0.000 0.000
Pr2 Pr 0.000 0.000 0.500
Pr3 Pr 0.000 0.250 0.250
Pr4 Pr 0.254 0.000 0.251
Pr5 Pr 0.255 0.000 0.749
Pr6 Pr 0.255 0.249 0.500
Pr7 Pr 0.500 0.249 0.250
Th1 Th 0.500 0.000 0.500
Mg1 Mg 0.500 0.000 0.000
```

=====

DFT (PBE-GGA) results for a relaxed PrThMgTl crystal.

## Properties
Fermi-level density of states, states/eV per cell: 10.44
Total DFT energy (no corrections), eV/cell: -66.3

The structure in CIF format:
```
data_PrThMgTl
_cell_length_a 7.789
_cell_length_b 7.789
_cell_length_c 7.789
_cell_angle_alpha 90.00
_cell_angle_beta 90.00
_cell_angle_gamma 90.00
_symmetry_space_group_name_H-M 'F -4 3 m'
_symmetry_Int_Tables_number 216
_symmetry_space_group_name_Hall 'F -4 2 3'
loop_
_atom_site_label
_atom_site_type_symbol
_atom_site_fract_x
_atom_site_fract_y
_atom_site_fract_z
Pr1 Pr 0.000 0.000 0.000
Th1 Th 0.000 0.000 0.500
Mg1 Mg 0.250 0.250 0.750
Tl1 Tl 0.250 0.250 0.250
```

=====

DFT (PBE-GGA) results for a relaxed PrThMgZn crystal.

## Properties
Fermi-level density of states, states/eV per cell: 16.49
Total DFT energy (no corrections), eV/cell: -61.4

The structure in CIF format:
```
data_PrThMgZn
_cell_length_a 7.545
_cell_length_b 7.545
_cell_length_c 7.545
_cell_angle_alpha 90.00
_cell_angle_beta 90.00
_cell_angle_gamma 90.00
_symmetry_space_group_name_H-M 'F -4 3 m'
_symmetry_Int_Tables_number 216
_symmetry_space_group_name_Hall 'F -4 2 3'
loop_
_atom_site_label
_atom_site_type_symbol
_atom_site_fract_x
_atom_site_fract_y
_atom_site_fract_z
Pr1 Pr 0.000 0.000 0.000
Th1 Th 0.000 0.000 0.500
Mg1 Mg 0.250 0.250 0.250
Zn1 Zn 0.250 0.250 0.750
```

=====

DFT (PBE-GGA) results for a relaxed PrMgTi crystal.

## Properties
Fermi-level density of states, states/eV per cell: 4.19
Total DFT energy (no corrections), eV/cell: -27.2

The structure in CIF format:
```
data_PrMgTi
_cell_length_a 3.299
_cell_length_b 3.299
_cell_length_c 13.663
_cell_angle_alpha 90.00
_cell_angle_beta 90.00
_cell_angle_gamma 90.00
_symmetry_space_group_name_H-M 'P 4/n m m'
_symmetry_Int_Tables_number 129
loop_
_symmetry_equiv_pos_as_xyz
'x,y,z'
'-x,-y,-z'
'-y+1/2,x,z'
'y+1/2,-x,-z'
'-x+1/2,-y+1/2,z'
'x+1/2,y+1/2,-z'
'y,-x+1/2,z'
'-y,x+1/2,-z'
'x+1/2,-y,-z'
'-x+1/2,y,z'
'-y,-x,-z'
'y,x,z'
'-x,y+1/2,-z'
'x,-y+1/2,z'
'y+1/2,x+1/2,-z'
'-y+1/2,-x+1/2,z'
loop_
_atom_site_label
_atom_site_type_symbol
_atom_site_fract_x
_atom_site_fract_y
_atom_site_fract_z
Pr1 Pr 0.250 0.250 0.118
Mg1 Mg 0.250 0.250 0.425
Ti1 Ti 0.250 0.250 0.718
```

=====

DFT (PBE-GGA) results for a relaxed Pr2MgTi crystal.

## Properties
Fermi-level density of states, states/eV per cell: 5.06
E above lowest polymorph, kJ/mol of formula units: 0.0

The structure in CIF format:
```
data_Pr2MgTi
_cell_length_a 3.474
_cell_length_b 3.474
_cell_length_c 9.271
_cell_angle_alpha 90.00
_cell_angle_beta 90.00
_cell_angle_gamma 90.00
_symmetry_space_group_name_H-M 'P 4/m m m'
_symmetry_Int_Tables_number 123
_symmetry_space_group_name_Hall '-P 4 2'
loop_
_atom_site_label
_atom_site_type_symbol
_atom_site_fract_x
_atom_site_fract_y
_atom_site_fract_z
Pr1 Pr 0.000 0.000 0.234
Mg1 Mg 0.500 0.500 0.500
Ti1 Ti 0.500 0.500 0.000
```

=====

Question: The highest Fermi-level density of states belongs to which entry?
Answer: Pr14ThMg

=====

Please write out number 6 again, unchanged.
DFT (PBE-GGA) results for a relaxed PrThMgZn crystal.

## Properties
Fermi-level density of states, states/eV per cell: 16.49
Total DFT energy (no corrections), eV/cell: -61.4

The structure in CIF format:
```
data_PrThMgZn
_cell_length_a 7.545
_cell_length_b 7.545
_cell_length_c 7.545
_cell_angle_alpha 90.00
_cell_angle_beta 90.00
_cell_angle_gamma 90.00
_symmetry_space_group_name_H-M 'F -4 3 m'
_symmetry_Int_Tables_number 216
_symmetry_space_group_name_Hall 'F -4 2 3'
loop_
_atom_site_label
_atom_site_type_symbol
_atom_site_fract_x
_atom_site_fract_y
_atom_site_fract_z
Pr1 Pr 0.000 0.000 0.000
Th1 Th 0.000 0.000 0.500
Mg1 Mg 0.250 0.250 0.250
Zn1 Zn 0.250 0.250 0.750
```

=====

Question: Among the records above, which one has the lowest Fermi-level density of states?
Answer: PrMgTi